[1]
LaThOsAu: optimized geometry, PBE.

Unit cell a=5.1620 b=5.1620 c=5.1620 alpha=60.00 beta=60.00 gamma=60.00
Last column: nearest neighbours and their distance in Å.
Element x y z (fractional)
Au  0.0000  0.0000  0.0000  4 La 3.16, 4 Th 3.16
La  0.2500  0.2500  0.2500  4 Os 3.16, 4 Au 3.16
Th  0.7500  0.7500  0.7500  4 Os 3.16, 4 Au 3.16
Os  0.5000  0.5000  0.5000  4 La 3.16, 4 Th 3.16

Calculated values
Space-group type: No. 216
Crystal system: cubic
Raw total energy, Ha/atom: -0.2587



[2]
AlZn3Mo: optimized geometry, PBE.

Unit cell a=4.9473 b=4.9473 c=4.9473 alpha=90.00 beta=90.00 gamma=90.00
Last column: nearest neighbours and their distance in Å.
Element x y z (fractional)
Al  0.5000  0.5000  0.5000  12 Zn 3.50
Zn  0.0000  0.0000  0.5000  2 Mo 2.47
Mo  0.0000  0.0000  0.0000  6 Zn 2.47
Zn  0.5000  0.0000  0.0000  2 Mo 2.47
Zn  0.0000  0.5000  0.0000  2 Mo 2.47

Calculated values
Space-group type: No. 221
ΔE to the lowest computed polymorph, meV per atom: 0.0
Crystal system: cubic
Raw total energy, Ha/atom: -0.0956



[3]
Tc2Os: optimized geometry, PBE.

Unit cell a=3.2141 b=4.8483 c=3.2141 alpha=70.64 beta=90.00 gamma=109.36
Last column: nearest neighbours and their distance in Å.
Element x y z (fractional)
Tc  0.3322  0.6643  0.6678  5 Tc 2.67-2.87, 5 Os 2.69-2.85
Tc  0.6678  0.3357  0.3322  5 Tc 2.67-2.87, 5 Os 2.69-2.85
Os  0.0000  0.0000  0.0000  10 Tc 2.69-2.85

Calculated values
Space-group type: No. 139
ΔE to the lowest computed polymorph, meV per atom: 469.0
Crystal system: tetragonal
Raw total energy, Ha/atom: -0.3766



[4]
Li2CaBe2: optimized geometry, PBE.

Unit cell a=7.5246 b=7.5246 c=2.9073 alpha=90.00 beta=90.00 gamma=90.00
Last column: nearest neighbours and their distance in Å.
Element x y z (fractional)
Be  0.8305  0.3305  0.5000  6 Li 2.64-2.66, 2 Be 2.91
Ca  0.5000  0.5000  0.0000  2 Ca 2.91, 4 Li 2.98, 8 Be 3.15
Be  0.1695  0.6695  0.5000  6 Li 2.64-2.66, 2 Be 2.91
Be  0.6695  0.8305  0.5000  6 Li 2.64-2.66, 2 Be 2.91
Li  0.3765  0.8765  0.0000  3 Li 2.63-2.91, 6 Be 2.64-2.66
Li  0.6235  0.1235  0.0000  3 Li 2.63-2.91, 6 Be 2.64-2.66
Be  0.3305  0.1695  0.5000  6 Li 2.64-2.66, 2 Be 2.91
Ca  0.0000  0.0000  0.0000  2 Ca 2.91, 4 Li 2.98, 8 Be 3.15
Li  0.1235  0.3765  0.0000  3 Li 2.63-2.91, 6 Be 2.64-2.66
Li  0.8765  0.6235  0.0000  3 Li 2.63-2.91, 6 Be 2.64-2.66

Calculated values
Space-group type: No. 127
ΔE to the lowest computed polymorph, meV per atom: 0.0
Crystal system: tetragonal
Raw total energy, Ha/atom: -0.0831



Question: The lowest raw total energy belongs to which entry?
Answer: Tc2Os



Question: What is the formula in the first record?
Answer: LaThOsAu



Question: raw total energy of number 4 (Li2CaBe2)?
Answer: -0.0831 Ha/atom



Question: raw total energy of number 2 (AlZn3Mo)?
Answer: -0.0956 Ha/atom